No. 1
Here is a geometry-optimized Tm3FeTe5 structure from the Open Quantum Materials Database. Energies are from GGA-PBE.

Properties
Theoretical density = 8.5 g cm⁻³
Relative energy among the computed polymorphs = 7.8 kJ/mol of atoms
VASP energy = -43.477 eV/cell

a = 8.5771 Å, b = 8.5771 Å, c = 3.6869 Å
α = 90.00°, β = 90.00°, γ = 120.00°
Atoms (fractional coordinates):
Fe 0.0000 0.0000 0.0000
Te 0.2210 0.0000 0.5000
Te 0.0000 0.2210 0.5000
Te 0.6667 0.3333 0.5000
Te 0.3333 0.6667 0.5000
Te 0.7790 0.7790 0.5000
Tm 0.6485 0.0000 0.0000
Tm 0.3515 0.3515 0.0000
Tm 0.0000 0.6485 0.0000

***

No. 2
Here is a geometry-optimized Dy3Mg3In2Pd structure from the Open Quantum Materials Database. Energies are from GGA-PBE.

Properties
Theoretical density = 6.8 g cm⁻³
VASP energy = -33.458 eV/cell

a = 7.5099 Å, b = 7.5099 Å, c = 4.4872 Å
α = 90.00°, β = 90.00°, γ = 120.00°
Atoms (fractional coordinates):
Dy 0.5958 0.0000 0.0000
Dy 0.4042 0.4042 0.0000
Dy 0.0000 0.5958 0.0000
In 0.6667 0.3333 0.5000
In 0.3333 0.6667 0.5000
Mg 0.2332 0.0000 0.5000
Mg 0.0000 0.2332 0.5000
Mg 0.7668 0.7668 0.5000
Pd 0.0000 0.0000 0.0000

***

No. 3
Here is a geometry-optimized LiAgTeMoS2 structure from the Open Quantum Materials Database. Energies are from GGA-PBE.

Properties
Theoretical density = 5.6 g cm⁻³
VASP energy = -57.511 eV/cell

a = 7.0527 Å, b = 7.0527 Å, c = 10.2227 Å
α = 90.00°, β = 90.00°, γ = 152.12°
Atoms (fractional coordinates):
Ag 0.5465 0.4535 0.2500
Ag 0.4535 0.5465 0.7500
Li 0.2066 0.7934 0.2500
Li 0.7934 0.2066 0.7500
Mo 0.0000 0.0000 0.0000
Mo 0.0000 0.0000 0.5000
S 0.6286 0.3714 0.0418
S 0.6286 0.3714 0.4582
S 0.3714 0.6286 0.5418
S 0.3714 0.6286 0.9582
Te 0.8837 0.1163 0.2500
Te 0.1163 0.8837 0.7500

***

No. 4
Here is a geometry-optimized NdSi2TcPd structure from the Open Quantum Materials Database. Energies are from GGA-PBE.

Properties
Theoretical density = 7.6 g cm⁻³
VASP energy = -35.164 eV/cell

a = 5.8558 Å, b = 5.8558 Å, c = 5.8558 Å
α = 138.07°, β = 138.07°, γ = 60.79°
Atoms (fractional coordinates):
Nd 0.0000 0.0000 0.0000
Pd 0.7500 0.2500 0.5000
Si 0.3742 0.3742 0.0000
Si 0.6258 0.6258 0.0000
Tc 0.2500 0.7500 0.5000

***

What did the second record say?
Here is a geometry-optimized Dy3Mg3In2Pd structure from the Open Quantum Materials Database. Energies are from GGA-PBE.

Properties
Theoretical density = 6.8 g cm⁻³
VASP energy = -33.458 eV/cell

a = 7.5099 Å, b = 7.5099 Å, c = 4.4872 Å
α = 90.00°, β = 90.00°, γ = 120.00°
Atoms (fractional coordinates):
Dy 0.5958 0.0000 0.0000
Dy 0.4042 0.4042 0.0000
Dy 0.0000 0.5958 0.0000
In 0.6667 0.3333 0.5000
In 0.3333 0.6667 0.5000
Mg 0.2332 0.0000 0.5000
Mg 0.0000 0.2332 0.5000
Mg 0.7668 0.7668 0.5000
Pd 0.0000 0.0000 0.0000

***

The highest VASP energy belongs to which entry?
Dy3Mg3In2Pd

***

Which formula does entry 2 have?
Dy3Mg3In2Pd

***

Which of these has the lowest theoretical density?
LiAgTeMoS2